Density functional theory data (PBE-GGA) for a geometry-optimized AcLaLuTh structure.

Output
**Total magnetization**: 0.03 Bohr magnetons per cell
**ΔE_f**: 0.235 eV per atom

a = 5.8857 Å, b = 5.8857 Å, c = 5.8857 Å
α = 60.00°, β = 60.00°, γ = 60.00°
Last column: nearest neighbours and their distance in Å.
Element x y z (fractional)
1 La 0.2500 0.2500 0.2500  4 Ac 3.60, 4 Lu 3.60
2 Lu 0.0000 0.0000 0.0000  4 La 3.60, 4 Th 3.60
3 Ac 0.5000 0.5000 0.5000  4 La 3.60, 4 Th 3.60
4 Th 0.7500 0.7500 0.7500  4 Lu 3.60, 4 Ac 3.60


Density functional theory data (PBE-GGA) for a geometry-optimized AcLaYLu structure.

Output
**Total magnetization**: 0.08 Bohr magnetons per cell
**ΔE_f**: 0.174 eV per atom

a = 5.8959 Å, b = 5.8959 Å, c = 5.8959 Å
α = 60.00°, β = 60.00°, γ = 60.00°
Last column: nearest neighbours and their distance in Å.
Element x y z (fractional)
1 Lu 0.5000 0.5000 0.5000  4 Y 3.61, 4 La 3.61
2 Ac 0.0000 0.0000 0.0000  4 Y 3.61, 4 La 3.61
3 Y 0.7500 0.7500 0.7500  4 Ac 3.61, 4 Lu 3.61
4 La 0.2500 0.2500 0.2500  4 Ac 3.61, 4 Lu 3.61


Density functional theory data (PBE-GGA) for a geometry-optimized AcLaLuZn structure.

Output
**Total magnetization**: 0.02 Bohr magnetons per cell
**ΔE_f**: 0.177 eV per atom

a = 5.5997 Å, b = 5.5997 Å, c = 5.5997 Å
α = 60.00°, β = 60.00°, γ = 60.00°
Last column: nearest neighbours and their distance in Å.
Element x y z (fractional)
1 Lu 0.0000 0.0000 0.0000  4 Ac 3.43, 4 Zn 3.43
2 Zn 0.7500 0.7500 0.7500  4 Lu 3.43, 4 La 3.43
3 La 0.5000 0.5000 0.5000  4 Zn 3.43, 4 Ac 3.43
4 Ac 0.2500 0.2500 0.2500  4 La 3.43, 4 Lu 3.43


Density functional theory data (PBE-GGA) for a geometry-optimized Ac2LaMg structure.

Output
**Excess energy over the best structure of this formula in the dataset**: 1.10 eV per formula unit
**Total magnetization**: 0.00 Bohr magnetons per cell
**ΔE_f**: 0.246 eV per atom

a = 3.7912 Å, b = 3.7912 Å, c = 13.4431 Å
α = 81.89°, β = 81.89°, γ = 60.00°
Last column: nearest neighbours and their distance in Å.
Element x y z (fractional)
1 La 0.5000 0.5000 0.5000  6 La 3.79, 6 Ac 3.80
2 Ac 0.9114 0.9114 0.2658  1 Mg 3.53, 6 Ac 3.79, 3 La 3.80
3 Ac 0.0886 0.0886 0.7342  1 Mg 3.53, 6 Ac 3.79, 3 La 3.80
4 Mg 0.0000 0.0000 0.0000  2 Ac 3.53, 6 Mg 3.79


Density functional theory data (PBE-GGA) for a geometry-optimized AcLa15Mg4 structure.

Output
**Total magnetization**: 0.00 Bohr magnetons per cell
**ΔE_f**: -0.010 eV per atom

a = 5.1714 Å, b = 5.1714 Å, c = 25.8624 Å
α = 90.00°, β = 90.00°, γ = 90.00°
Last column: nearest neighbours and their distance in Å.
Element x y z (fractional)
1 La 0.5000 0.0000 0.8946  8 La 3.65-3.76, 2 Mg 3.66, 2 Ac 3.76
2 La 0.5000 0.0000 0.1054  8 La 3.65-3.76, 2 Mg 3.66, 2 Ac 3.76
3 La 0.0000 0.5000 0.8946  8 La 3.65-3.76, 2 Mg 3.66, 2 Ac 3.76
4 La 0.0000 0.5000 0.6969  4 Mg 3.61-3.64, 8 La 3.62-3.66
5 La 0.5000 0.5000 0.4018  8 La 3.62-3.63, 4 Mg 3.66
6 La 0.5000 0.0000 0.6969  4 Mg 3.61-3.64, 8 La 3.62-3.66
7 La 0.5000 0.5000 0.0000  4 Ac 3.66, 8 La 3.76
8 La 0.0000 0.5000 0.5000  4 Mg 3.62, 8 La 3.62-3.66
9 La 0.5000 0.5000 0.7949  8 La 3.62-3.65, 4 Mg 3.66
10 La 0.5000 0.5000 0.5982  8 La 3.62-3.63, 4 Mg 3.66
11 La 0.5000 0.0000 0.5000  4 Mg 3.62, 8 La 3.62-3.66
12 La 0.5000 0.0000 0.3031  4 Mg 3.61-3.64, 8 La 3.62-3.66
13 La 0.0000 0.5000 0.3031  4 Mg 3.61-3.64, 8 La 3.62-3.66
14 La 0.5000 0.5000 0.2051  8 La 3.62-3.65, 4 Mg 3.66
15 La 0.0000 0.5000 0.1054  8 La 3.65-3.76, 2 Mg 3.66, 2 Ac 3.76
16 Mg 0.0000 0.0000 0.5981  12 La 3.62-3.66
17 Mg 0.0000 0.0000 0.7945  12 La 3.61-3.66
18 Mg 0.0000 0.0000 0.4019  12 La 3.62-3.66
19 Mg 0.0000 0.0000 0.2055  12 La 3.61-3.66
20 Ac 0.0000 0.0000 0.0000  12 La 3.66-3.76


Density functional theory data (PBE-GGA) for a geometry-optimized Ac3La8Mg structure.

Output
**Total magnetization**: 0.00 Bohr magnetons per cell
**ΔE_f**: 0.411 eV per atom

a = 8.7539 Å, b = 8.7539 Å, c = 8.7539 Å
α = 95.95°, β = 116.63°, γ = 116.63°
Last column: nearest neighbours and their distance in Å.
Element x y z (fractional)
1 La 0.0000 0.2653 0.7927  1 Mg 3.09, 1 La 3.17, 1 Ac 3.45
2 La 0.0000 0.8811 0.6258  3 La 3.17-3.53, 1 Mg 3.33, 1 Ac 3.40
3 La 0.2554 0.3742 0.3742  3 La 3.17-3.53, 1 Mg 3.33, 1 Ac 3.40
4 La 0.5273 0.7347 0.7347  1 Mg 3.09, 1 La 3.17, 1 Ac 3.45
5 La 0.0000 0.7927 0.2653  1 Mg 3.09, 1 La 3.17, 1 Ac 3.45
6 La 0.4727 0.2073 0.2073  1 Mg 3.09, 1 La 3.17, 1 Ac 3.45
7 La 0.0000 0.6258 0.8811  3 La 3.17-3.53, 1 Mg 3.33, 1 Ac 3.40
8 La 0.7446 0.1189 0.1189  3 La 3.17-3.53, 1 Mg 3.33, 1 Ac 3.40
9 Ac 0.0000 0.5000 0.5000  8 La 3.40-3.45
10 Ac 0.5000 0.2500 0.7500  4 La 3.62
11 Ac 0.5000 0.7500 0.2500  4 La 3.62
12 Mg 0.0000 0.0000 0.0000  8 La 3.09-3.33


Density functional theory data (PBE-GGA) for a geometry-optimized AcLa6Mg structure.

Output
**Excess energy over the best structure of this formula in the dataset**: 0.00 eV per formula unit
**Total magnetization**: 0.00 Bohr magnetons per cell
**ΔE_f**: -0.002 eV per atom

a = 5.2510 Å, b = 5.2510 Å, c = 10.4489 Å
α = 90.00°, β = 90.00°, γ = 90.00°
Last column: nearest neighbours and their distance in Å.
Element x y z (fractional)
1 Mg 0.0000 0.0000 0.5000  12 La 3.65-3.71
2 La 0.5000 0.0000 0.7427  8 La 3.65-3.76, 2 Mg 3.65, 2 Ac 3.76
3 La 0.0000 0.5000 0.7427  8 La 3.65-3.76, 2 Mg 3.65, 2 Ac 3.76
4 La 0.5000 0.0000 0.2573  8 La 3.65-3.76, 2 Mg 3.65, 2 Ac 3.76
5 La 0.0000 0.5000 0.2573  8 La 3.65-3.76, 2 Mg 3.65, 2 Ac 3.76
6 La 0.5000 0.5000 0.5000  8 La 3.65, 4 Mg 3.71
7 La 0.5000 0.5000 0.0000  4 Ac 3.71, 8 La 3.76
8 Ac 0.0000 0.0000 0.0000  12 La 3.71-3.76


Density functional theory data (PBE-GGA) for a geometry-optimized Ac3La2Mg3 structure.

Output
**Total magnetization**: 0.00 Bohr magnetons per cell
**ΔE_f**: -0.057 eV per atom

a = 4.0663 Å, b = 5.8725 Å, c = 12.4928 Å
α = 103.59°, β = 99.37°, γ = 90.00°
Last column: nearest neighbours and their distance in Å.
Element x y z (fractional)
1 Mg 0.1211 0.1211 0.2421  2 La 3.42, 6 Ac 3.54-3.57
2 Mg 0.0000 0.5000 0.0000  8 Ac 3.57-3.59
3 Mg 0.8789 0.8789 0.7579  2 La 3.42, 6 Ac 3.54-3.57
4 La 0.2639 0.7639 0.5278  2 Mg 3.42, 4 La 3.63
5 La 0.7361 0.2361 0.4722  2 Mg 3.42, 4 La 3.63
6 Ac 0.3764 0.3764 0.7528  6 Mg 3.57-3.59, 4 La 3.93-3.98
7 Ac 0.5000 0.0000 0.0000  8 Mg 3.54-3.57
8 Ac 0.6236 0.6236 0.2472  6 Mg 3.57-3.59, 4 La 3.93-3.98


Density functional theory data (PBE-GGA) for a geometry-optimized Ac3La3Mg structure.

Output
**Total magnetization**: 0.00 Bohr magnetons per cell
**ΔE_f**: 0.026 eV per atom

a = 6.0596 Å, b = 10.1774 Å, c = 10.1777 Å
α = 120.00°, β = 90.00°, γ = 90.00°
Last column: nearest neighbours and their distance in Å.
Element x y z (fractional)
1 Mg 0.7500 0.6667 0.3333  9 Ac 3.75-3.90, 3 La 3.86-3.87
2 Mg 0.2500 0.3333 0.6667  9 Ac 3.75-3.90, 3 La 3.86-3.87
3 Ac 0.7500 0.3705 0.9002  5 La 3.74-4.00, 3 Mg 3.75-3.90, 4 Ac 3.83-3.86
4 Ac 0.2500 0.4702 0.3705  5 La 3.74-4.00, 3 Mg 3.75-3.90, 4 Ac 3.83-3.86
5 Ac 0.7500 0.0997 0.4702  5 La 3.74-4.00, 3 Mg 3.75-3.90, 4 Ac 3.83-3.86
6 Ac 0.2500 0.9003 0.5298  5 La 3.74-4.00, 3 Mg 3.75-3.90, 4 Ac 3.83-3.86
7 Ac 0.2500 0.6295 0.0998  5 La 3.74-4.00, 3 Mg 3.75-3.90, 4 Ac 3.83-3.86
8 Ac 0.7500 0.5298 0.6295  5 La 3.74-4.00, 3 Mg 3.75-3.90, 4 Ac 3.83-3.86
9 La 0.7500 0.9484 0.7652  6 La 3.73-3.77, 5 Ac 3.74-4.00, 1 Mg 3.86
10 La 0.7500 0.8167 0.0515  6 La 3.73-3.77, 5 Ac 3.74-4.00, 1 Mg 3.86
11 La 0.2500 0.1833 0.9485  6 La 3.73-3.77, 5 Ac 3.74-4.00, 1 Mg 3.87
12 La 0.2500 0.0516 0.2348  6 La 3.73-3.77, 5 Ac 3.74-4.00, 1 Mg 3.86
13 La 0.2500 0.7652 0.8168  6 La 3.73-3.77, 5 Ac 3.74-4.00, 1 Mg 3.87
14 La 0.7500 0.2348 0.1832  6 La 3.73-3.77, 5 Ac 3.74-4.00, 1 Mg 3.87


Density functional theory data (PBE-GGA) for a geometry-optimized AcLa14Mg structure.

Output
**Total magnetization**: 0.00 Bohr magnetons per cell
**ΔE_f**: -0.007 eV per atom

a = 7.4105 Å, b = 7.4105 Å, c = 10.5603 Å
α = 90.00°, β = 90.00°, γ = 90.01°
Last column: nearest neighbours and their distance in Å.
Element x y z (fractional)
1 La 0.3754 0.1256 0.0000  2 Mg 3.70-3.71, 2 Ac 3.70-3.71, 8 La 3.71
2 La 0.6193 0.8693 0.7511  10 La 3.62-3.79, 1 Mg 3.67, 1 Ac 3.75
3 La 0.6197 0.3803 0.7504  10 La 3.62-3.79, 1 Mg 3.68, 1 Ac 3.76
4 La 0.3747 0.1247 0.5000  12 La 3.70-3.73
5 La 0.3748 0.6252 0.5000  12 La 3.68-3.71
6 La 0.8753 0.6253 0.5000  12 La 3.70-3.73
7 La 0.1307 0.3807 0.7511  10 La 3.62-3.79, 1 Mg 3.67, 1 Ac 3.75
8 La 0.8744 0.6246 0.0000  2 Mg 3.70-3.71, 2 Ac 3.70-3.71, 8 La 3.71
9 La 0.8753 0.1247 0.5000  12 La 3.70-3.77
10 La 0.6193 0.8693 0.2489  10 La 3.62-3.79, 1 Mg 3.67, 1 Ac 3.75
11 La 0.6197 0.3803 0.2496  10 La 3.62-3.79, 1 Mg 3.68, 1 Ac 3.76
12 La 0.1307 0.3807 0.2489  10 La 3.62-3.79, 1 Mg 3.67, 1 Ac 3.75
13 La 0.1304 0.8696 0.2485  10 La 3.62-3.79, 1 Mg 3.67, 1 Ac 3.75
14 La 0.1304 0.8696 0.7515  10 La 3.62-3.79, 1 Mg 3.67, 1 Ac 3.75
15 Mg 0.3750 0.6250 0.0000  12 La 3.67-3.71
16 Ac 0.8749 0.1251 0.0000  12 La 3.70-3.76